Record 1
NaCd6Au4 | GGA-PBE | relaxed

Lattice parameters (Å, degrees): 8.111 8.111 4.405 90.00 90.00 120.00
Atoms (fractional coordinates):
Na: 0.000 0.000 0.000
Cd: 0.194 0.388 0.500
Cd: 0.194 0.806 0.500
Cd: 0.533 0.067 0.000
Cd: 0.533 0.467 0.000
Cd: 0.612 0.806 0.500
Cd: 0.933 0.467 0.000
Au: 0.333 0.667 0.000
Au: 0.408 0.204 0.500
Au: 0.796 0.204 0.500
Au: 0.796 0.592 0.500

Its space-group type is P-6m2. Its excess energy over the best structure of this formula in the dataset is 0.000 eV per atom.

Record 2
Na3Cd3Au2 | GGA-PBE | relaxed

Lattice parameters (Å, degrees): 8.153 17.012 5.886 90.00 90.00 90.00
Atoms (fractional coordinates):
Na: 0.028 0.110 0.101
Na: 0.028 0.390 0.101
Na: 0.159 0.250 0.654
Na: 0.341 0.750 0.154
Na: 0.472 0.610 0.601
Na: 0.472 0.890 0.601
Na: 0.528 0.110 0.399
Na: 0.528 0.390 0.399
Na: 0.659 0.250 0.846
Na: 0.841 0.750 0.346
Na: 0.972 0.610 0.899
Na: 0.972 0.890 0.899
Cd: 0.176 0.750 0.656
Cd: 0.179 0.034 0.591
Cd: 0.179 0.466 0.591
Cd: 0.321 0.534 0.091
Cd: 0.321 0.966 0.091
Cd: 0.324 0.250 0.156
Cd: 0.676 0.750 0.844
Cd: 0.679 0.034 0.909
Cd: 0.679 0.466 0.909
Cd: 0.821 0.534 0.409
Cd: 0.821 0.966 0.409
Cd: 0.824 0.250 0.344
Au: 0.122 0.617 0.396
Au: 0.122 0.883 0.396
Au: 0.378 0.117 0.896
Au: 0.378 0.383 0.896
Au: 0.622 0.617 0.104
Au: 0.622 0.883 0.104
Au: 0.878 0.117 0.604
Au: 0.878 0.383 0.604

Its space-group type is Pnma. Its excess energy over the best structure of this formula in the dataset is 0.000 eV per atom.

Record 3
Na3Cd2Au3 | GGA-PBE | relaxed

Lattice parameters (Å, degrees): 6.314 6.314 14.703 90.00 90.00 138.52
Atoms (fractional coordinates):
Na: 0.063 0.937 0.613
Na: 0.063 0.937 0.887
Na: 0.350 0.650 0.750
Na: 0.650 0.350 0.250
Na: 0.937 0.063 0.113
Na: 0.937 0.063 0.387
Cd: 0.231 0.769 0.091
Cd: 0.231 0.769 0.409
Cd: 0.769 0.231 0.591
Cd: 0.769 0.231 0.909
Au: 0.365 0.635 0.250
Au: 0.401 0.599 0.548
Au: 0.401 0.599 0.952
Au: 0.599 0.401 0.048
Au: 0.599 0.401 0.452
Au: 0.635 0.365 0.750

Its space-group type is Cmcm. Its excess energy over the best structure of this formula in the dataset is 0.000 eV per atom.

Record 4
Na3Cd2Au7 | GGA-PBE | relaxed

Lattice parameters (Å, degrees): 9.970 9.970 9.970 32.93 32.93 32.93
Atoms (fractional coordinates):
Na: 0.000 0.000 0.000
Na: 0.143 0.143 0.143
Na: 0.857 0.857 0.857
Cd: 0.332 0.332 0.332
Cd: 0.668 0.668 0.668
Au: 0.083 0.586 0.586
Au: 0.414 0.414 0.917
Au: 0.414 0.917 0.414
Au: 0.500 0.500 0.500
Au: 0.586 0.083 0.586
Au: 0.586 0.586 0.083
Au: 0.917 0.414 0.414

Its space-group type is R-3m. The final energy comes out at -2.674 eV/atom.

Record 5
NaCdAu4 | GGA-PBE | relaxed

Lattice parameters (Å, degrees): 7.516 7.516 6.060 111.67 111.67 54.90
Atoms (fractional coordinates):
Na: 0.205 0.205 0.321
Na: 0.795 0.795 0.679
Cd: 0.451 0.451 0.670
Cd: 0.549 0.549 0.330
Au: 0.088 0.684 0.307
Au: 0.196 0.804 0.000
Au: 0.312 0.312 0.921
Au: 0.316 0.912 0.693
Au: 0.684 0.088 0.307
Au: 0.688 0.688 0.079
Au: 0.804 0.196 0.000
Au: 0.912 0.316 0.693

Its space-group type is C2/m. Its excess energy over the best structure of this formula in the dataset is 0.090 eV per atom.

Record 6
Na2CdAu | GGA-PBE | relaxed

Lattice parameters (Å, degrees): 5.979 5.979 8.938 119.55 119.55 48.84
Atoms (fractional coordinates):
Na: 0.000 0.000 0.000
Na: 0.000 0.000 0.498
Na: 0.380 0.380 0.658
Na: 0.622 0.622 0.340
Cd: 0.261 0.261 0.913
Cd: 0.737 0.737 0.083
Au: 0.311 0.311 0.278
Au: 0.690 0.690 0.718

Its space-group type is Cm. The final energy comes out at -1.939 eV/atom.

Record 7
NaCd4Au5 | GGA-PBE | relaxed

Lattice parameters (Å, degrees): 3.467 3.467 16.540 90.00 90.00 90.00
Atoms (fractional coordinates):
Na: 0.000 0.000 0.000
Cd: 0.000 0.000 0.204
Cd: 0.000 0.000 0.401
Cd: 0.000 0.000 0.599
Cd: 0.000 0.000 0.796
Au: 0.500 0.500 0.110
Au: 0.500 0.500 0.304
Au: 0.500 0.500 0.500
Au: 0.500 0.500 0.696
Au: 0.500 0.500 0.890

Its space-group type is P4/mmm. Its excess energy over the best structure of this formula in the dataset is 0.000 eV per atom.

Record 8
NaCd8Au5 | GGA-PBE | relaxed

Lattice parameters (Å, degrees): 7.357 7.357 7.357 109.82 109.82 108.77
Atoms (fractional coordinates):
Na: 0.000 0.000 0.000
Cd: 0.124 0.686 0.741
Cd: 0.158 0.251 0.754
Cd: 0.314 0.055 0.437
Cd: 0.497 0.404 0.246
Cd: 0.596 0.842 0.093
Cd: 0.618 0.876 0.563
Cd: 0.749 0.503 0.907
Cd: 0.945 0.382 0.259
Au: 0.207 0.613 0.118
Au: 0.387 0.505 0.594
Au: 0.495 0.089 0.882
Au: 0.750 0.250 0.500
Au: 0.911 0.793 0.406

Its space-group type is I-4. The final energy comes out at -1.912 eV/atom.

Record 9
Na6Cd23Au | GGA-PBE | relaxed

Lattice parameters (Å, degrees): 10.056 10.056 10.056 60.00 60.00 60.00
Atoms (fractional coordinates):
Na: 0.210 0.210 0.790
Na: 0.210 0.790 0.210
Na: 0.210 0.790 0.790
Na: 0.790 0.210 0.210
Na: 0.790 0.210 0.790
Na: 0.790 0.790 0.210
Cd: 0.000 0.000 0.500
Cd: 0.000 0.500 0.000
Cd: 0.000 0.500 0.500
Cd: 0.139 0.620 0.620
Cd: 0.164 0.164 0.164
Cd: 0.164 0.164 0.509
Cd: 0.164 0.509 0.164
Cd: 0.380 0.380 0.380
Cd: 0.380 0.380 0.861
Cd: 0.380 0.861 0.380
Cd: 0.491 0.836 0.836
Cd: 0.500 0.000 0.000
Cd: 0.500 0.000 0.500
Cd: 0.500 0.500 0.000
Cd: 0.500 0.500 0.500
Cd: 0.509 0.164 0.164
Cd: 0.620 0.139 0.620
Cd: 0.620 0.620 0.139
Cd: 0.620 0.620 0.620
Cd: 0.836 0.491 0.836
Cd: 0.836 0.836 0.491
Cd: 0.836 0.836 0.836
Cd: 0.861 0.380 0.380
Au: 0.000 0.000 0.000

Its space-group type is Fm-3m. The final energy comes out at -1.150 eV/atom.

Record 10
Na8Cd6Au | GGA-PBE | relaxed

Lattice parameters (Å, degrees): 7.645 7.645 7.645 74.65 74.65 74.65
Atoms (fractional coordinates):
Na: 0.116 0.116 0.116
Na: 0.211 0.573 0.214
Na: 0.214 0.211 0.573
Na: 0.427 0.786 0.789
Na: 0.573 0.214 0.211
Na: 0.786 0.789 0.427
Na: 0.789 0.427 0.786
Na: 0.884 0.884 0.884
Cd: 0.173 0.826 0.501
Cd: 0.174 0.499 0.827
Cd: 0.499 0.827 0.174
Cd: 0.501 0.173 0.826
Cd: 0.826 0.501 0.173
Cd: 0.827 0.174 0.499
Au: 0.500 0.500 0.500

Its space-group type is R-3. The final energy comes out at -1.381 eV/atom.

Record 11
Na2CdAu | GGA-PBE | relaxed

Lattice parameters (Å, degrees): 5.005 5.005 5.005 60.00 60.00 60.00
Atoms (fractional coordinates):
Na: 0.000 0.000 0.000
Na: 0.250 0.250 0.250
Cd: 0.500 0.500 0.500
Au: 0.750 0.750 0.750

Its space-group type is F-43m. The final energy comes out at -1.938 eV/atom.

Record 12
NaCd2Au6 | GGA-PBE | relaxed

Lattice parameters (Å, degrees): 7.623 7.623 5.210 96.56 96.56 42.54
Atoms (fractional coordinates):
Na: 0.000 0.000 0.000
Cd: 0.342 0.342 0.695
Cd: 0.658 0.658 0.305
Au: 0.077 0.578 0.190
Au: 0.249 0.751 0.500
Au: 0.422 0.923 0.810
Au: 0.578 0.077 0.190
Au: 0.751 0.249 0.500
Au: 0.923 0.422 0.810

Its space-group type is C2/m. The final energy comes out at -2.663 eV/atom.

Record 13
NaCd2Au | GGA-PBE | relaxed

Lattice parameters (Å, degrees): 3.588 3.588 6.827 90.00 90.00 90.00
Atoms (fractional coordinates):
Na: 0.000 0.000 0.000
Cd: 0.500 0.500 0.273
Cd: 0.500 0.500 0.727
Au: 0.000 0.000 0.500

Its space-group type is P4/mmm. Its excess energy over the best structure of this formula in the dataset is 0.111 eV per atom.

Record 14
NaCd4Au | GGA-PBE | relaxed

Lattice parameters (Å, degrees): 5.762 5.762 5.762 60.00 60.00 60.00
Atoms (fractional coordinates):
Na: 0.000 0.000 0.000
Cd: 0.375 0.375 0.375
Cd: 0.375 0.375 0.874
Cd: 0.375 0.874 0.375
Cd: 0.874 0.375 0.375
Au: 0.750 0.750 0.750

Its space-group type is F-43m. Its excess energy over the best structure of this formula in the dataset is 0.101 eV per atom.

Record 15
Na3CdAu8 | GGA-PBE | relaxed

Lattice parameters (Å, degrees): 9.804 9.804 9.804 33.00 33.00 33.00
Atoms (fractional coordinates):
Na: 0.000 0.000 0.000
Na: 0.126 0.126 0.126
Na: 0.501 0.501 0.501
Cd: 0.626 0.626 0.626
Au: 0.063 0.063 0.563
Au: 0.063 0.563 0.063
Au: 0.063 0.563 0.563
Au: 0.313 0.313 0.313
Au: 0.563 0.063 0.063
Au: 0.563 0.063 0.563
Au: 0.563 0.563 0.063
Au: 0.813 0.813 0.813

Its space-group type is R3m. The final energy comes out at -2.888 eV/atom.

Record 16
NaCd3Au8 | GGA-PBE | relaxed

Lattice parameters (Å, degrees): 9.637 9.637 9.637 33.72 33.72 33.72
Atoms (fractional coordinates):
Na: 0.000 0.000 0.000
Cd: 0.127 0.127 0.127
Cd: 0.499 0.499 0.499
Cd: 0.626 0.626 0.626
Au: 0.062 0.062 0.562
Au: 0.062 0.562 0.062
Au: 0.062 0.562 0.562
Au: 0.312 0.312 0.312
Au: 0.562 0.062 0.062
Au: 0.562 0.062 0.562
Au: 0.562 0.562 0.062
Au: 0.812 0.812 0.812

Its space-group type is R3m. The final energy comes out at -2.674 eV/atom.

Record 17
Na3Cd4Au4 | GGA-PBE | relaxed

Lattice parameters (Å, degrees): 8.756 8.756 8.756 151.33 124.51 63.65
Atoms (fractional coordinates):
Na: 0.000 0.000 0.000
Na: 0.382 0.882 0.500
Na: 0.618 0.118 0.500
Cd: 0.028 0.328 0.701
Cd: 0.373 0.672 0.701
Cd: 0.627 0.328 0.299
Cd: 0.972 0.672 0.299
Au: 0.224 0.224 0.000
Au: 0.325 0.500 0.825
Au: 0.675 0.500 0.175
Au: 0.776 0.776 0.000

Its space-group type is Immm. The final energy comes out at -2.150 eV/atom.

Record 18
Na2Cd8Au | GGA-PBE | relaxed

Lattice parameters (Å, degrees): 4.624 4.624 12.126 90.00 90.00 90.00
Atoms (fractional coordinates):
Na: 0.000 0.000 0.183
Na: 0.000 0.000 0.817
Cd: 0.000 0.500 0.000
Cd: 0.000 0.500 0.363
Cd: 0.000 0.500 0.637
Cd: 0.500 0.000 0.000
Cd: 0.500 0.000 0.363
Cd: 0.500 0.000 0.637
Cd: 0.500 0.500 0.183
Cd: 0.500 0.500 0.817
Au: 0.000 0.000 0.500

Its space-group type is P4/mmm. The final energy comes out at -1.307 eV/atom.

Record 19
NaCd10Au3 | GGA-PBE | relaxed

Lattice parameters (Å, degrees): 9.948 9.948 9.948 60.00 60.00 60.00
Atoms (fractional coordinates):
Na: 0.250 0.250 0.250
Na: 0.750 0.750 0.750
Cd: 0.000 0.000 0.347
Cd: 0.000 0.000 0.653
Cd: 0.000 0.347 0.000
Cd: 0.000 0.347 0.653
Cd: 0.000 0.653 0.000
Cd: 0.000 0.653 0.347
Cd: 0.142 0.619 0.619
Cd: 0.347 0.000 0.000
Cd: 0.347 0.000 0.653
Cd: 0.347 0.653 0.000
Cd: 0.381 0.381 0.381
Cd: 0.381 0.381 0.858
Cd: 0.381 0.858 0.381
Cd: 0.619 0.142 0.619
Cd: 0.619 0.619 0.142
Cd: 0.619 0.619 0.619
Cd: 0.653 0.000 0.000
Cd: 0.653 0.000 0.347
Cd: 0.653 0.347 0.000
Cd: 0.858 0.381 0.381
Au: 0.268 0.268 0.732
Au: 0.268 0.732 0.268
Au: 0.268 0.732 0.732
Au: 0.732 0.268 0.268
Au: 0.732 0.268 0.732
Au: 0.732 0.732 0.268

Its space-group type is Fm-3m. The final energy comes out at -1.513 eV/atom.